(1)
Entry from Alexandria: a relaxed Sr2Ga2Pb crystal (PBEsol).

Calculated values
Magnetic moment   0.0 μB/cell
SG   I4/mmm, No. 139
Energy of formation from the pure elements   -2.324 kcal/mol of atoms

Unit cell a=7.0739 b=7.0739 c=7.0739 alpha=138.36 beta=138.36 gamma=60.35
With the nearest neighbours (Å) after each atom.
Element x y z (fractional)
Sr: 0.2500 0.7500 0.5000  4 Ga 3.15
Sr: 0.7500 0.2500 0.5000  4 Ga 3.15
Ga: 0.0942 0.0942 0.0000  1 Ga 2.30
Ga: 0.9058 0.9058 0.0000  1 Ga 2.30
Pb: 0.5000 0.5000 0.0000  8 Ga 3.74, 8 Sr 3.96

=====

(2)
Entry from Alexandria: a relaxed Sr3GaPb crystal (PBEsol).

Calculated values
Magnetic moment   0.0 μB/cell
SG   Pm-3m, No. 221
Energy of formation from the pure elements   2.066 kcal/mol of atoms

Unit cell a=6.2714 b=6.2714 c=6.2714 alpha=90.00 beta=90.00 gamma=90.00
With the nearest neighbours (Å) after each atom.
Element x y z (fractional)
Sr: 0.0000 0.0000 0.5000  2 Pb 3.14
Sr: 0.0000 0.5000 0.0000  2 Pb 3.14
Sr: 0.5000 0.0000 0.0000  2 Pb 3.14
Ga: 0.5000 0.5000 0.5000  12 Sr 4.43
Pb: 0.0000 0.0000 0.0000  6 Sr 3.14

=====

(3)
Entry from Alexandria: a relaxed SrTaGa2Pb crystal (PBEsol).

Calculated values
Magnetic moment   0.0 μB/cell
SG   P4/mmm, No. 123
Energy of formation from the pure elements   40.036 kcal/mol of atoms

Unit cell a=5.3715 b=5.3715 c=5.2028 alpha=90.00 beta=90.00 gamma=90.00
With the nearest neighbours (Å) after each atom.
Element x y z (fractional)
Sr: 0.0000 0.0000 0.0000  2 Ta 2.60, 4 Ga 2.69
Ta: 0.0000 0.0000 0.5000  2 Sr 2.60
Ga: 0.0000 0.5000 0.0000  2 Sr 2.69
Ga: 0.5000 0.0000 0.0000  2 Sr 2.69
Pb: 0.5000 0.5000 0.5000  8 Ga 3.74, 4 Ta 3.80

=====

(4)
Entry from Alexandria: a relaxed TaGaPb3 crystal (PBEsol).

Calculated values
Magnetic moment   2.6 μB/cell
SG   Pm-3m, No. 221
Energy of formation from the pure elements   30.399 kcal/mol of atoms

Unit cell a=5.2468 b=5.2468 c=5.2468 alpha=90.00 beta=90.00 gamma=90.00
With the nearest neighbours (Å) after each atom.
Element x y z (fractional)
Ta: 0.0000 0.0000 0.0000  12 Pb 3.71
Ga: 0.5000 0.5000 0.5000  6 Pb 2.62
Pb: 0.0000 0.5000 0.5000  2 Ga 2.62
Pb: 0.5000 0.0000 0.5000  2 Ga 2.62
Pb: 0.5000 0.5000 0.0000  2 Ga 2.62

=====

(5)
Entry from Alexandria: a relaxed Ta2Ga2Pb crystal (PBEsol).

Calculated values
Magnetic moment   0.0 μB/cell
SG   I4/mmm, No. 139
Energy of formation from the pure elements   6.138 kcal/mol of atoms

Unit cell a=7.3526 b=7.3526 c=7.3526 alpha=151.03 beta=151.03 gamma=41.44
With the nearest neighbours (Å) after each atom.
Element x y z (fractional)
Ta: 0.1018 0.1018 0.0000  4 Ga 2.75, 1 Ta 2.80, 4 Pb 2.95
Ta: 0.8982 0.8982 0.0000  4 Ga 2.75, 1 Ta 2.80, 4 Pb 2.95
Ga: 0.2500 0.7500 0.5000  4 Ga 2.60, 4 Ta 2.75
Ga: 0.7500 0.2500 0.5000  4 Ga 2.60, 4 Ta 2.75
Pb: 0.5000 0.5000 0.0000  8 Ta 2.95

=====

(6)
Entry from Alexandria: a relaxed Ga2TePb2 crystal (PBEsol).

Calculated values
Magnetic moment   0.0 μB/cell
SG   I4/mmm, No. 139
ΔE_f (raw)   4 kJ/mol of formula units

Unit cell a=9.0173 b=9.0173 c=9.0173 alpha=155.15 beta=155.15 gamma=35.42
With the nearest neighbours (Å) after each atom.
Element x y z (fractional)
Ga: 0.2500 0.7500 0.5000  4 Ga 2.74
Ga: 0.7500 0.2500 0.5000  4 Ga 2.74
Te: 0.0000 0.0000 0.0000  8 Pb 3.31
Pb: 0.3926 0.3926 0.0000  4 Ga 3.12, 4 Te 3.31
Pb: 0.6074 0.6074 0.0000  4 Ga 3.12, 4 Te 3.31

=====

(7)
Entry from Alexandria: a relaxed TiGa3Pb crystal (PBEsol).

Calculated values
Magnetic moment   2.3 μB/cell
SG   Pm-3m, No. 221
Energy of formation from the pure elements   27.083 kcal/mol of atoms

Unit cell a=5.2352 b=5.2352 c=5.2352 alpha=90.00 beta=90.00 gamma=90.00
With the nearest neighbours (Å) after each atom.
Element x y z (fractional)
Ti: 0.0000 0.0000 0.0000  12 Ga 3.70
Ga: 0.0000 0.5000 0.5000  2 Pb 2.62
Ga: 0.5000 0.0000 0.5000  2 Pb 2.62
Ga: 0.5000 0.5000 0.0000  2 Pb 2.62
Pb: 0.5000 0.5000 0.5000  6 Ga 2.62

=====

(8)
Entry from Alexandria: a relaxed TiGa2Pb2 crystal (PBEsol).

Calculated values
Magnetic moment   1.5 μB/cell
SG   I4/mmm, No. 139
Energy of formation from the pure elements   11.445 kcal/mol of atoms

Unit cell a=7.4512 b=7.4512 c=7.4512 alpha=147.07 beta=147.07 gamma=47.26
With the nearest neighbours (Å) after each atom.
Element x y z (fractional)
Ti: 0.0000 0.0000 0.0000  8 Ga 3.21
Ga: 0.4133 0.4133 0.0000  1 Ga 2.37
Ga: 0.5867 0.5867 0.0000  1 Ga 2.37
Pb: 0.2500 0.7500 0.5000  4 Pb 2.99, 4 Ga 3.07
Pb: 0.7500 0.2500 0.5000  4 Pb 2.99, 4 Ga 3.07

=====

(9)
Entry from Alexandria: a relaxed TlGaPb2 crystal (PBEsol).

Calculated values
Magnetic moment   0.0 μB/cell
SG   Fm-3m, No. 225
Energy of formation from the pure elements   1.907 kcal/mol of atoms

Unit cell a=5.3055 b=5.3055 c=5.3055 alpha=60.00 beta=60.00 gamma=60.00
With the nearest neighbours (Å) after each atom.
Element x y z (fractional)
Tl: 0.0000 0.0000 0.0000  8 Pb 3.25
Ga: 0.5000 0.5000 0.5000  8 Pb 3.25
Pb: 0.2500 0.2500 0.2500  4 Ga 3.25, 4 Tl 3.25
Pb: 0.7500 0.7500 0.7500  4 Ga 3.25, 4 Tl 3.25

=====

(10)
Entry from Alexandria: a relaxed Tl2Ga2Pb crystal (PBEsol).

Calculated values
Magnetic moment   0.0 μB/cell
SG   P4/mbm, No. 127
Energy of formation from the pure elements   1.721 kcal/mol of atoms
Distance to the lowest polymorph of the same formula   0.0000 eV/atom

Unit cell a=7.5138 b=7.5138 c=4.4357 alpha=90.00 beta=90.00 gamma=90.00
With the nearest neighbours (Å) after each atom.
Element x y z (fractional)
Tl: 0.1781 0.3219 0.0000  6 Ga 3.07-3.19
Tl: 0.3219 0.8219 0.0000  6 Ga 3.07-3.19
Tl: 0.6781 0.1781 0.0000  6 Ga 3.07-3.19
Tl: 0.8219 0.6781 0.0000  6 Ga 3.07-3.19
Ga: 0.1224 0.6224 0.5000  1 Ga 2.60
Ga: 0.3776 0.1224 0.5000  1 Ga 2.60
Ga: 0.6224 0.8776 0.5000  1 Ga 2.60
Ga: 0.8776 0.3776 0.5000  1 Ga 2.60
Pb: 0.0000 0.0000 0.5000  4 Ga 2.98
Pb: 0.5000 0.5000 0.5000  4 Ga 2.98

=====

(11)
Entry from Alexandria: a relaxed Tl2Ga2Pb crystal (PBEsol).

Calculated values
Magnetic moment   0.0 μB/cell
SG   I4/mmm, No. 139
Energy of formation from the pure elements   2.143 kcal/mol of atoms
Distance to the lowest polymorph of the same formula   0.0183 eV/atom

Unit cell a=9.6018 b=9.6018 c=9.6018 alpha=157.71 beta=157.71 gamma=31.73
With the nearest neighbours (Å) after each atom.
Element x y z (fractional)
Tl: 0.1125 0.1125 0.0000  4 Ga 3.15, 4 Pb 3.35
Tl: 0.8875 0.8875 0.0000  4 Ga 3.15, 4 Pb 3.35
Ga: 0.2500 0.7500 0.5000  4 Ga 2.63
Ga: 0.7500 0.2500 0.5000  4 Ga 2.63
Pb: 0.5000 0.5000 0.0000  8 Tl 3.35, 4 Pb 3.71

=====

(12)
Entry from Alexandria: a relaxed TlGa2Pb crystal (PBEsol).

Calculated values
Magnetic moment   0.0 μB/cell
SG   Fm-3m, No. 225
Energy of formation from the pure elements   2.084 kcal/mol of atoms

Unit cell a=5.1419 b=5.1419 c=5.1419 alpha=60.00 beta=60.00 gamma=60.00
With the nearest neighbours (Å) after each atom.
Element x y z (fractional)
Tl: 0.0000 0.0000 0.0000  8 Ga 3.15
Ga: 0.2500 0.2500 0.2500  4 Tl 3.15, 4 Pb 3.15
Ga: 0.7500 0.7500 0.7500  4 Tl 3.15, 4 Pb 3.15
Pb: 0.5000 0.5000 0.5000  8 Ga 3.15

=====

What did the sixth record say?
Entry from Alexandria: a relaxed Ga2TePb2 crystal (PBEsol).

Calculated values
Magnetic moment   0.0 μB/cell
SG   I4/mmm, No. 139
ΔE_f (raw)   4 kJ/mol of formula units

Unit cell a=9.0173 b=9.0173 c=9.0173 alpha=155.15 beta=155.15 gamma=35.42
With the nearest neighbours (Å) after each atom.
Element x y z (fractional)
Ga: 0.2500 0.7500 0.5000  4 Ga 2.74
Ga: 0.7500 0.2500 0.5000  4 Ga 2.74
Te: 0.0000 0.0000 0.0000  8 Pb 3.31
Pb: 0.3926 0.3926 0.0000  4 Ga 3.12, 4 Te 3.31
Pb: 0.6074 0.6074 0.0000  4 Ga 3.12, 4 Te 3.31

=====

- What is the formula in the first record?
  Sr2Ga2Pb

=====

- Number 12 is which compound?
  TlGa2Pb